Density functional theory data (GGA-PBEsol) for a relaxed structure of LiRhSe2.

## Properties
Symmetry = No. 38
Uncorrected formation energy = -0.432 eV per atom

a = 3.2237 Å, b = 4.0438 Å, c = 5.0517 Å
α = 90.00°, β = 108.61°, γ = 90.00°
With the nearest neighbours (Å) after each atom.
Positions (direct):
Li 0.4703 0.3751 0.9406  7 Se 2.52-2.78, 2 Rh 2.70
Rh 0.2835 0.8750 0.5670  7 Se 2.59-2.72, 2 Li 2.70
Se 0.0129 0.8752 0.0258  3 Rh 2.59-2.72, 4 Li 2.62
Se 0.7333 0.3747 0.4665  3 Li 2.52-2.78, 4 Rh 2.63

Density functional theory data (GGA-PBEsol) for a relaxed structure of RhBr7.

## Properties
Symmetry = No. 225
Uncorrected formation energy = 0.761 eV per atom

a = 6.3376 Å, b = 6.3376 Å, c = 6.3376 Å
α = 60.00°, β = 60.00°, γ = 60.00°
With the nearest neighbours (Å) after each atom.
Positions (direct):
Br 0.0000 0.0000 0.5000  10 Br 3.17, 2 Rh 3.17
Br 0.0000 0.5000 0.0000  10 Br 3.17, 2 Rh 3.17
Br 0.5000 0.0000 0.0000  2 Rh 3.17, 10 Br 3.17
Br 0.5000 0.5000 0.0000  10 Br 3.17, 2 Rh 3.17
Br 0.5000 0.0000 0.5000  10 Br 3.17, 2 Rh 3.17
Br 0.0000 0.5000 0.5000  10 Br 3.17, 2 Rh 3.17
Br 0.5000 0.5000 0.5000  12 Br 3.17
Rh 0.0000 0.0000 0.0000  12 Br 3.17

Density functional theory data (GGA-PBEsol) for a relaxed structure of CoRe2Tc.

## Properties
Symmetry = No. 139
Polymorph energy (0 for the lowest one) = 10 meV/atom
Energy of formation from the pure elements = 0.02 eV/atom

a = 3.7802 Å, b = 3.7802 Å, c = 4.5864 Å
α = 114.34°, β = 114.34°, γ = 90.00°
With the nearest neighbours (Å) after each atom.
Positions (direct):
Re 0.7500 0.2500 0.5000  4 Tc 2.65, 4 Co 2.65, 4 Re 2.67
Re 0.2500 0.7500 0.5000  4 Tc 2.65, 4 Co 2.65, 4 Re 2.67
Co 0.0000 0.0000 0.0000  8 Re 2.65, 4 Tc 2.67
Tc 0.5000 0.5000 0.0000  8 Re 2.65, 4 Co 2.67

Density functional theory data (GGA-PBEsol) for a relaxed structure of Li2MnSiO4.

## Properties
Symmetry = No. 20
Polymorph energy (0 for the lowest one) = 16 meV/atom
Uncorrected formation energy = -2.225 eV per atom

a = 5.3054 Å, b = 5.3054 Å, c = 6.2337 Å
α = 90.00°, β = 90.00°, γ = 92.78°
With the nearest neighbours (Å) after each atom.
Positions (direct):
Li 0.6872 0.3128 0.2500  4 O 1.90-2.02
Li 0.3128 0.6872 0.7500  4 O 1.90-2.02
Li 0.1804 0.1804 0.0000  4 O 1.97-2.04
Li 0.8196 0.8196 0.5000  4 O 1.97-2.04
Mn 0.6783 0.3217 0.7500  4 O 1.99-2.04
Mn 0.3217 0.6783 0.2500  4 O 1.99-2.04
Si 0.1741 0.1741 0.5000  4 O 1.65
Si 0.8259 0.8259 0.0000  4 O 1.65
O 0.8664 0.2043 0.4953  1 Si 1.65
O 0.7957 0.1336 0.0047  1 Si 1.65
O 0.1336 0.7957 0.9953  1 Si 1.65
O 0.2043 0.8664 0.5047  1 Si 1.65
O 0.2954 0.3082 0.7173  1 Si 1.65
O 0.6918 0.7046 0.7827  1 Si 1.65
O 0.3082 0.2954 0.2827  1 Si 1.65
O 0.7046 0.6918 0.2173  1 Si 1.65

no.,DOS(E_F) (states/eV/atom)
1,0.622
2,1.517
3,0.821
4,0.000